{
  "formula": "LiOs2Pt",
  "functional": "GGA-PBE",
  "state": "relaxed",
  "polymorph_energy_mev_per_atom": 160.0,
  "rho_g_cm3": 17.38,
  "crystal_system": "tetragonal",
  "dos_ef_per_ev_atom": 0.8093,
  "formation_enthalpy_0k_ev_per_atom": 0.172,
  "magmom_total_mub_per_fu": 0.00,
  "volume_a3_per_cell": 55.6,
  "cell": [[-1.850, 1.850, 4.062], [1.850, -1.850, 4.062], [1.850, 1.850, -4.062]],
  "species": ["Li", "Os", "Os", "Pt"],
  "fractional_positions": [[0.000, 0.000, 0.000], [0.250, 0.750, 0.500], [0.750, 0.250, 0.500], [0.500, 0.500, 0.000]]
}


{
  "formula": "LiOsPt2",
  "functional": "GGA-PBE",
  "state": "relaxed",
  "polymorph_energy_mev_per_atom": 120.4,
  "rho_g_cm3": 16.99,
  "crystal_system": "monoclinic",
  "dos_ef_per_ev_atom": 0.8604,
  "formation_enthalpy_0k_ev_per_atom": -0.119,
  "magmom_total_mub_per_fu": 0.00,
  "volume_a3_per_cell": 57.4,
  "cell": [[2.713, 0.000, 0.000], [0.000, 3.927, 0.000], [-0.012, 0.000, 5.388]],
  "species": ["Li", "Os", "Pt", "Pt"],
  "fractional_positions": [[0.000, 0.000, 0.000], [0.000, 0.000, 0.500], [0.500, 0.500, 0.250], [0.500, 0.500, 0.750]]
}


{
  "formula": "LiOsPt2",
  "functional": "GGA-PBE",
  "state": "relaxed",
  "polymorph_energy_mev_per_atom": 358.9,
  "rho_g_cm3": 16.55,
  "crystal_system": "cubic",
  "dos_ef_per_ev_atom": 1.2772,
  "formation_enthalpy_0k_ev_per_atom": 0.119,
  "magmom_total_mub_per_fu": 1.27,
  "volume_a3_per_cell": 58.9,
  "cell": [[0.000, 3.089, 3.089], [3.089, 0.000, 3.089], [3.089, 3.089, 0.000]],
  "species": ["Li", "Os", "Pt", "Pt"],
  "fractional_positions": [[0.000, 0.000, 0.000], [0.500, 0.500, 0.500], [0.250, 0.250, 0.250], [0.750, 0.750, 0.750]]
}


{
  "formula": "LiOs2Pt",
  "functional": "GGA-PBE",
  "state": "relaxed",
  "polymorph_energy_mev_per_atom": 420.0,
  "rho_g_cm3": 16.52,
  "crystal_system": "tetragonal",
  "dos_ef_per_ev_atom": 0.8406,
  "formation_enthalpy_0k_ev_per_atom": 0.432,
  "magmom_total_mub_per_fu": 0.00,
  "volume_a3_per_cell": 58.6,
  "cell": [[2.645, 0.000, 0.000], [0.000, 2.645, 0.000], [0.000, 0.000, 8.367]],
  "species": ["Li", "Os", "Os", "Pt"],
  "fractional_positions": [[0.000, 0.000, 0.000], [0.500, 0.500, 0.253], [0.500, 0.500, 0.747], [0.000, 0.000, 0.500]]
}


{
  "formula": "LiOsPt2",
  "functional": "GGA-PBE",
  "state": "relaxed",
  "polymorph_energy_mev_per_atom": 46.6,
  "rho_g_cm3": 16.70,
  "crystal_system": "monoclinic",
  "dos_ef_per_ev_atom": 0.8935,
  "formation_enthalpy_0k_ev_per_atom": -0.193,
  "magmom_total_mub_per_fu": 0.00,
  "volume_a3_per_cell": 58.4,
  "cell": [[4.613, -1.354, 0.000], [4.613, 1.354, 0.000], [-0.650, 0.000, 4.674]],
  "species": ["Li", "Os", "Pt", "Pt"],
  "fractional_positions": [[0.000, 0.000, 0.000], [0.231, 0.231, 0.671], [0.491, 0.491, 0.507], [0.751, 0.751, 0.168]]
}


{
  "formula": "LiOs2Pt",
  "functional": "GGA-PBE",
  "state": "relaxed",
  "polymorph_energy_mev_per_atom": 241.8,
  "rho_g_cm3": 17.07,
  "crystal_system": "orthorhombic",
  "dos_ef_per_ev_atom": 0.9407,
  "formation_enthalpy_0k_ev_per_atom": 0.253,
  "magmom_total_mub_per_fu": 0.00,
  "volume_a3_per_cell": 56.7,
  "cell": [[2.698, 0.000, 0.000], [0.000, 4.133, 0.000], [0.000, 0.000, 5.084]],
  "species": ["Li", "Os", "Os", "Pt"],
  "fractional_positions": [[0.000, 0.000, 0.000], [0.500, 0.500, 0.235], [0.500, 0.500, 0.765], [0.000, 0.000, 0.500]]
}


{
  "formula": "LiOs2Pt",
  "functional": "GGA-PBE",
  "state": "relaxed",
  "polymorph_energy_mev_per_atom": 15.0,
  "rho_g_cm3": 17.28,
  "crystal_system": "monoclinic",
  "dos_ef_per_ev_atom": 0.5385,
  "formation_enthalpy_0k_ev_per_atom": 0.027,
  "magmom_total_mub_per_fu": 0.00,
  "volume_a3_per_cell": 56.0,
  "cell": [[2.679, 0.000, 0.000], [0.000, 4.104, 0.000], [-1.337, 0.000, 5.091]],
  "species": ["Li", "Os", "Os", "Pt"],
  "fractional_positions": [[0.000, 0.000, 0.000], [0.152, 0.500, 0.300], [0.747, 0.000, 0.487], [0.416, 0.500, 0.829]]
}


{
  "formula": "Li2OsPt",
  "functional": "GGA-PBE",
  "state": "relaxed",
  "polymorph_energy_mev_per_atom": 384.7,
  "rho_g_cm3": 11.65,
  "crystal_system": "tetragonal",
  "dos_ef_per_ev_atom": 0.9891,
  "formation_enthalpy_0k_ev_per_atom": 0.140,
  "magmom_total_mub_per_fu": 0.00,
  "volume_a3_per_cell": 56.9,
  "cell": [[-1.834, 1.834, 4.231], [1.834, -1.834, 4.231], [1.834, 1.834, -4.231]],
  "species": ["Li", "Li", "Os", "Pt"],
  "fractional_positions": [[0.250, 0.750, 0.500], [0.750, 0.250, 0.500], [0.000, 0.000, 0.000], [0.500, 0.500, 0.000]]
}


{
  "formula": "LiOs2Pt",
  "functional": "GGA-PBE",
  "state": "relaxed",
  "polymorph_energy_mev_per_atom": 123.3,
  "rho_g_cm3": 17.37,
  "crystal_system": "tetragonal",
  "dos_ef_per_ev_atom": 1.0728,
  "formation_enthalpy_0k_ev_per_atom": 0.135,
  "magmom_total_mub_per_fu": 0.00,
  "volume_a3_per_cell": 55.7,
  "cell": [[-1.947, 1.947, 3.674], [1.947, -1.947, 3.674], [1.947, 1.947, -3.674]],
  "species": ["Li", "Os", "Os", "Pt"],
  "fractional_positions": [[0.000, 0.000, 0.000], [0.500, 0.500, 0.000], [0.750, 0.250, 0.500], [0.250, 0.750, 0.500]]
}


{
  "formula": "LiOsPt2",
  "functional": "GGA-PBE",
  "state": "relaxed",
  "polymorph_energy_mev_per_atom": 279.5,
  "rho_g_cm3": 16.42,
  "crystal_system": "orthorhombic",
  "dos_ef_per_ev_atom": 1.0365,
  "formation_enthalpy_0k_ev_per_atom": 0.040,
  "magmom_total_mub_per_fu": 0.00,
  "volume_a3_per_cell": 59.4,
  "cell": [[1.369, -2.336, 0.000], [1.369, 2.336, 0.000], [0.000, 0.000, 9.286]],
  "species": ["Li", "Os", "Pt", "Pt"],
  "fractional_positions": [[0.000, 0.000, 0.000], [0.000, 0.000, 0.500], [0.500, 0.500, 0.240], [0.500, 0.500, 0.760]]
}


{
  "formula": "Li2OsPt",
  "functional": "GGA-PBE",
  "state": "relaxed",
  "polymorph_energy_mev_per_atom": 764.4,
  "rho_g_cm3": 11.49,
  "crystal_system": "tetragonal",
  "dos_ef_per_ev_atom": 0.8487,
  "formation_enthalpy_0k_ev_per_atom": 0.519,
  "magmom_total_mub_per_fu": 0.00,
  "volume_a3_per_cell": 115.3,
  "cell": [[-3.403, 3.403, 2.490], [3.403, -3.403, 2.490], [3.403, 3.403, -2.490]],
  "species": ["Li", "Li", "Li", "Li", "Os", "Os", "Pt", "Pt"],
  "fractional_positions": [[0.117, 0.125, 0.492], [0.375, 0.883, 0.008], [0.633, 0.625, 0.508], [0.875, 0.367, 0.992], [0.250, 0.750, 0.500], [0.500, 0.500, 0.000], [0.000, 0.000, 0.000], [0.750, 0.250, 0.500]]
}


{
  "formula": "LiTa2OsPt",
  "functional": "GGA-PBE",
  "state": "relaxed",
  "rho_g_cm3": 13.15,
  "crystal_system": "tetragonal",
  "dos_ef_per_ev_atom": 1.2285,
  "formation_enthalpy_0k_ev_per_atom": 1.100,
  "magmom_total_mub_per_fu": 0.00,
  "volume_a3_per_cell": 95.2,
  "cell": [[4.871, 0.000, 0.000], [0.000, 4.871, 0.000], [0.000, 0.000, 4.013]],
  "species": ["Li", "Ta", "Ta", "Os", "Pt"],
  "fractional_positions": [[0.000, 0.000, 0.000], [0.000, 0.500, 0.500], [0.500, 0.000, 0.500], [0.500, 0.500, 0.000], [0.000, 0.000, 0.500]]
}


> Number 10 is which compound?

LiOsPt2